KScF2 | GGA-PBE | relaxed

* uncorrected formation energy: -2.26 eV per atom
* symmetry: I-42d
* distance to the lowest polymorph of the same formula: 1.24 eV/f.u.
* volume: 184.2 Å³ per cell

Geometry as extended XYZ:
```
8
Lattice="-2.734 2.734 6.160 2.734 -2.734 6.160 2.734 2.734 -6.160" Properties=species:S:1:pos:R:3 pbc="T T T"
K 0.000 0.000 0.000
K 0.000 2.734 3.080
Sc 2.734 0.000 3.080
Sc 0.000 0.000 6.160
F 1.367 -0.484 4.620
F 2.250 1.367 1.540
F 1.367 3.218 -1.540
F 0.484 1.367 7.701
```